(1)
Below is a relaxed Sr2LiMg12Hg3 crystal, with properties calculated at the PBE level.

```
18
Lattice="-9.806 -4.452 -3.040 -7.659 -7.271 3.700 -10.694 -0.300 3.281" Properties=species:S:1:pos:R:3 pbc="T T T"
Mg -15.514 -6.728 0.438
Mg -14.671 -7.836 3.085
Mg -19.991 -10.986 1.773
Mg -15.863 -5.098 2.921
Mg -12.645 -5.295 3.502
Li 0.000 0.000 0.000
Mg -20.501 -8.601 5.403
Mg -13.488 -4.188 0.855
Hg -4.903 -2.226 -1.520
Mg -21.734 -6.982 1.532
Hg -3.829 -3.636 1.850
Mg -8.168 -1.037 2.168
Sr -9.931 -4.240 1.390
Mg -12.296 -6.926 1.020
Sr -18.228 -7.783 2.551
Hg -5.347 -0.150 1.640
Mg -7.658 -3.422 -1.463
Mg -6.425 -5.041 2.408
```

Results
**V**: 516.7 Å³ per cell
**DOS(E_F)**: 0.52 states/eV/atom
**ΔE_f**: 46 meV per atom
**VASP energy**: -1.3611 eV/atom

---

(2)
Below is a relaxed CaTl2TeO4 crystal, with properties calculated at the PBE level.

```
16
Lattice="-2.042 3.871 6.343 6.312 -2.116 3.873 0.562 3.445 -6.446" Properties=species:S:1:pos:R:3 pbc="T T T"
O 3.241 4.230 1.145
O 1.557 3.564 -4.426
Ca 1.596 6.024 1.869
Tl 2.246 0.892 4.904
Tl -1.675 5.434 3.263
Tl -0.620 2.152 3.362
O 3.917 1.233 1.206
O 4.362 2.726 -2.354
Ca 3.614 0.830 -1.349
O 1.815 2.198 -0.254
Tl 5.410 1.155 3.561
Te 2.505 2.494 1.511
O 3.856 3.678 4.552
O -0.188 2.840 6.036
O 0.455 4.412 2.991
Te 0.818 3.302 -6.176
```

Results
**V**: 310.8 Å³ per cell
**Formation energy from raw total energies**: -1053.6 kJ/mol of formula units
**VASP energy**: -5.0785 eV/atom

---

(3)
Below is a relaxed Ba5In2Sb crystal, with properties calculated at the PBE level.

```
16
Lattice="8.189 0.000 -3.866 -1.825 7.983 -3.866 0.044 0.055 10.699" Properties=species:S:1:pos:R:3 pbc="T T T"
Ba -0.720 4.233 5.398
Ba 3.313 2.586 0.093
Ba 7.129 3.806 -2.430
Sb 4.795 6.015 -0.449
Ba 4.965 7.797 -3.773
Ba 3.182 3.992 -3.866
Ba 0.000 0.000 0.000
Ba 1.443 0.241 6.740
In 0.253 3.063 -1.933
In 1.529 7.055 -4.899
Ba 5.259 1.461 4.217
In 6.112 4.920 -5.799
Ba 3.095 5.452 2.875
In 4.835 0.929 -2.832
Sb 1.613 2.023 3.417
Ba 1.149 6.577 -1.249
```

Results
**V**: 703.0 Å³ per cell
**Formation energy from raw total energies**: -416.3 kJ/mol of formula units
**DOS(E_F)**: 1.26 states/eV/atom
**VASP energy**: -2.9410 eV/atom

---

(4)
Below is a relaxed Pr2Dy6Er3Mg crystal, with properties calculated at the PBE level.

```
12
Lattice="-2.392 -5.543 -1.024 6.040 0.636 0.782 -2.538 0.110 11.466" Properties=species:S:1:pos:R:3 pbc="T T T"
Pr 3.229 -1.424 0.180
Dy 1.665 -0.173 3.143
Er -2.264 -4.464 5.008
Pr 0.419 -3.483 -0.422
Dy 2.240 -2.576 8.679
Dy 2.100 -3.665 2.731
Er 3.374 -0.333 6.216
Dy -0.555 -4.624 8.080
Dy -0.990 -1.132 8.492
Er 0.555 -2.399 5.612
Dy -1.130 -2.221 2.544
Mg 0.000 0.000 0.000
```

Results
**V**: 375.3 Å³ per cell
**DOS(E_F)**: 1.43 states/eV/atom
**ΔE_f**: 20 meV per atom
**VASP energy**: -4.3517 eV/atom